A plane-wave DFT calculation with PBE was carried out for a geometry-optimized KRbAs2O6 structure.

It has space group C2/c (No. 15), with a = 11.673 Å, b = 12.027 Å, c = 5.146 Å, α = 90.00°, β = 90.13° and γ = 90.00°. The asymmetric unit holds K at (0.000, 0.109, 0.250), Rb at (0.000, 0.314, 0.750), As at (0.231, 0.414, 0.279), O at (0.126, 0.094, 0.735), O at (0.144, 0.307, 0.227) and O at (0.183, 0.466, 0.592).

The value obtained for the calculated total energy is -5.62 eV per atom. For the uncorrected formation energy, the calculation gives -1.51 eV per atom.

A plane-wave DFT calculation with PBE was carried out for a geometry-optimized K6Rb2AsO structure.

It has space group C2/m (No. 12), with a = 13.377 Å, b = 9.520 Å, c = 8.231 Å, α = 90.00°, β = 113.32° and γ = 90.00°. The asymmetric unit holds K at (0.026, 0.200, 0.277), K at (0.223, 0.000, 0.672), Rb at (0.190, 0.500, 0.814), As at (0.000, 0.500, 0.000) and O at (0.000, 0.000, 0.500).

The value obtained for the calculated total energy is -2.17 eV per atom. For the uncorrected formation energy, the calculation gives -0.36 eV per atom.

Which formula does entry 1 have?
KRbAs2O6

Which value of calculated total energy does entry 2 give?
-2.17 eV per atom

Look up the calculated total energy of the second one.
-2.17 eV per atom

Among the records above, which one has the highest calculated total energy?
K6Rb2AsO